No. 1
SrCe2Cd6 (PBE, relaxed); DFT total energy = -20.69 eV per cell; space group = Immm, No. 71
1.0
-0.3236 2.6689 2.1585
-9.0819 -0.0382 1.4391
-3.7879 -4.1290 7.2908
Sr Cd Ce
1 6 2
Direct
0.0000 0.0000 0.0000 Sr
0.5000 0.6703 0.3297 Cd
0.6700 0.0024 0.6577 Cd
0.6700 0.6577 0.0024 Cd
0.3300 0.3423 0.9976 Cd
0.5000 0.3297 0.6703 Cd
0.3300 0.9976 0.3423 Cd
0.8496 0.6504 0.6504 Ce
0.1504 0.3496 0.3496 Ce

=====

No. 2
GaBi3N (PBE, relaxed); ΔE_f (raw) = 1.462 eV per atom; DFT total energy = -15.68 eV per cell; space group = Pm-3m, No. 221
1.0
-0.3821 4.5545 -3.0958
2.8471 -2.4930 -4.0190
-4.7139 -1.8749 -2.1765
Bi Ga N
3 1 1
Direct
0.0000 0.0000 0.5000 Bi
0.0000 0.5000 0.0000 Bi
0.5000 0.0000 0.0000 Bi
0.0000 0.0000 0.0000 Ga
0.5000 0.5000 0.5000 N

=====

No. 3
Na2CrCl (PBE, relaxed); ΔE_f (raw) = 0.011 eV per atom; DFT total energy = -28.13 eV per cell; space group = I-42d, No. 122
1.0
-4.5131 8.2501 1.6670
-5.2219 -1.2611 -7.8963
-6.6387 2.2487 -1.7444
Na Cr Cl
4 2 2
Direct
0.2356 0.6250 0.2500 Na
0.3750 0.4856 0.7500 Na
0.5144 0.1250 0.2500 Na
0.8750 0.7644 0.7500 Na
0.7500 0.2500 0.5000 Cr
0.0000 0.0000 0.0000 Cr
0.2500 0.7500 0.5000 Cl
0.5000 0.5000 0.0000 Cl

=====

No. 4
CrInCuAu (PBE, relaxed); DFT total energy = -19.25 eV per cell; space group = F-43m, No. 216
1.0
-3.8725 1.7200 1.6874
-3.6679 0.4167 -2.6785
-3.6111 -2.7113 0.6402
In Cr Au Cu
1 1 1 1
Direct
0.0000 0.0000 0.0000 In
0.7500 0.7500 0.7500 Cr
0.5000 0.5000 0.5000 Au
0.2500 0.2500 0.2500 Cu

=====

No. 5
Nd3Er5Ga12 (PBE, relaxed); DFT total energy = -288.76 eV per cell; space group = Ia-3d, No. 230
1.0
14.5875 0.0000 0.0000
-4.8625 13.7533 0.0000
-4.8625 -6.8766 11.9107
Ga Er Nd
48 20 12
Direct
0.4270 0.3479 0.5723 Ga
0.6453 0.4208 0.5730 Ga
0.1521 0.7244 0.5792 Ga
0.9208 0.5730 0.1453 Ga
0.8547 0.9277 0.2756 Ga
0.2756 0.4277 0.8547 Ga
0.5723 0.8479 0.4270 Ga
0.5730 0.6521 0.4277 Ga
0.9270 0.0723 0.8479 Ga
0.9208 0.3479 0.2756 Ga
0.2756 0.8479 0.9208 Ga
0.7756 0.4208 0.3479 Ga
0.6453 0.2244 0.5723 Ga
0.4270 0.0792 0.3547 Ga
0.0723 0.9270 0.3479 Ga
0.5792 0.3547 0.9270 Ga
0.0723 0.1453 0.2244 Ga
0.0730 0.1453 0.4208 Ga
0.6521 0.5730 0.9277 Ga
0.7756 0.3547 0.9277 Ga
0.4208 0.6453 0.0730 Ga
0.0792 0.6521 0.7244 Ga
0.9277 0.0730 0.6521 Ga
0.0792 0.4270 0.8547 Ga
0.0730 0.9277 0.1521 Ga
0.3547 0.7756 0.4277 Ga
0.2244 0.6453 0.0723 Ga
0.7244 0.1521 0.0792 Ga
0.3547 0.5792 0.4270 Ga
0.5723 0.7244 0.6453 Ga
0.9277 0.8547 0.7756 Ga
0.3479 0.4270 0.0723 Ga
0.1453 0.0730 0.9208 Ga
0.5730 0.9208 0.6453 Ga
0.6521 0.0792 0.2244 Ga
0.8547 0.9270 0.0792 Ga
0.4277 0.2756 0.3547 Ga
0.4208 0.7756 0.8479 Ga
0.9270 0.8547 0.5792 Ga
0.8479 0.5723 0.9270 Ga
0.7244 0.5723 0.1453 Ga
0.3479 0.9208 0.7756 Ga
0.8479 0.2756 0.4208 Ga
0.5792 0.2244 0.1521 Ga
0.2244 0.5792 0.6521 Ga
0.1521 0.4277 0.0730 Ga
0.4277 0.1521 0.5730 Ga
0.1453 0.0723 0.7244 Ga
0.7500 0.6250 0.3750 Er
0.2500 0.3750 0.6250 Er
0.3750 0.2500 0.1250 Er
0.1250 0.7500 0.3750 Er
0.0000 0.5000 0.5000 Er
0.7500 0.1250 0.8750 Er
0.8750 0.2500 0.6250 Er
0.0000 0.0000 0.0000 Er
0.5000 0.0000 0.0000 Er
0.0000 0.5000 0.0000 Er
0.5000 0.5000 0.0000 Er
0.0000 0.0000 0.5000 Er
0.8750 0.6250 0.7500 Er
0.3750 0.1250 0.7500 Er
0.6250 0.7500 0.8750 Er
0.5000 0.5000 0.5000 Er
0.2500 0.8750 0.1250 Er
0.6250 0.8750 0.2500 Er
0.5000 0.0000 0.5000 Er
0.1250 0.3750 0.2500 Er
0.8750 0.7500 0.1250 Nd
0.7500 0.3750 0.1250 Nd
0.2500 0.1250 0.3750 Nd
0.6250 0.3750 0.7500 Nd
0.1250 0.8750 0.7500 Nd
0.3750 0.6250 0.2500 Nd
0.3750 0.7500 0.6250 Nd
0.6250 0.2500 0.3750 Nd
0.1250 0.2500 0.8750 Nd
0.7500 0.8750 0.6250 Nd
0.8750 0.1250 0.2500 Nd
0.2500 0.6250 0.8750 Nd

=====

No. 6
PuCu2IrO6 (PBE, relaxed); ΔE_f (raw) = -1.309 eV per atom; DFT total energy = -74.22 eV per cell; space group = R-3, No. 148
1.0
5.2941 -0.0002 -0.0011
-2.6470 4.5854 0.0001
-2.6455 -1.5274 4.8920
O Cu Pu Ir
6 2 1 1
Direct
0.8613 0.6015 0.7194 O
0.1318 0.2586 0.7193 O
0.5185 0.1235 0.2411 O
0.8613 0.7368 0.2412 O
0.1318 0.3941 0.2412 O
0.4746 0.8720 0.7194 O
0.4992 0.2490 0.7342 Cu
0.4940 0.7466 0.2263 Cu
0.9965 0.9978 0.9803 Pu
0.9966 0.4978 0.4803 Ir

=====

No. 7
Na3PdO (PBE, relaxed); ΔE_f (raw) = -0.544 eV per atom; DFT total energy = -33.66 eV per cell; space group = Cmc2_1, No. 36
1.0
-2.2988 -1.3879 -4.0626
-3.1181 -4.6999 3.3699
-2.7797 6.0761 -0.5029
Na O Pd
6 2 2
Direct
0.3321 0.9041 0.8082 Na
0.2923 0.4374 0.3261 Na
0.8321 0.0959 0.1918 Na
0.2923 0.8886 0.3261 Na
0.7923 0.5626 0.6739 Na
0.7923 0.1114 0.6739 Na
0.1010 0.2550 0.5101 O
0.6010 0.7450 0.4899 O
0.7677 0.5693 0.1386 Pd
0.2677 0.4307 0.8614 Pd

=====

No. 8
RePbAu2 (PBE, relaxed); DFT total energy = -38.59 eV per cell; space group = I-42d, No. 122
1.0
3.9984 0.0000 0.0000
0.0000 3.9984 0.0000
1.9992 1.9992 10.2953
Au Re Pb
4 2 2
Direct
0.8750 0.8616 0.7500 Au
0.3750 0.3884 0.7500 Au
0.1384 0.6250 0.2500 Au
0.6116 0.1250 0.2500 Au
0.5000 0.5000 0.0000 Re
0.2500 0.7500 0.5000 Re
0.7500 0.2500 0.5000 Pb
0.0000 0.0000 0.0000 Pb

=====

No. 9
LiIn5Hg12 (PBE, relaxed); DFT total energy = -19.68 eV per cell; space group = C2/m, No. 12
1.0
6.1014 0.0000 -0.4156
3.0507 5.2507 -0.2078
-1.1250 0.0000 14.6750
Li In Hg
1 5 12
Direct
0.0000 0.0000 0.0000 Li
0.6675 0.6650 0.0000 In
0.8393 0.3214 0.5000 In
0.1607 0.6786 0.5000 In
0.3325 0.3350 0.0000 In
0.5000 0.0000 0.5000 In
0.9504 0.3117 0.8410 Hg
0.5505 0.3466 0.6723 Hg
0.2486 0.0000 0.6764 Hg
0.8971 0.6534 0.6723 Hg
0.2621 0.6883 0.8410 Hg
0.3524 0.0000 0.1569 Hg
0.7514 0.0000 0.3236 Hg
0.1029 0.3466 0.3277 Hg
0.7379 0.3118 0.1590 Hg
0.6476 0.0000 0.8431 Hg
0.0496 0.6883 0.1590 Hg
0.4495 0.6534 0.3277 Hg

=====

No. 10
Tb4CSe2 (PBE, relaxed); ΔE_f (raw) = -0.427 eV per atom; DFT total energy = -37.70 eV per cell; space group = I4/mmm, No. 139
1.0
4.4625 0.0000 0.0000
0.0000 4.4625 0.0000
2.2313 2.2313 9.7578
C Tb Se
1 4 2
Direct
0.0000 0.0000 0.0000 C
0.6779 0.6779 0.6443 Tb
0.3221 0.3221 0.3557 Tb
0.5000 0.0000 0.0000 Tb
0.0000 0.5000 0.0000 Tb
0.1773 0.1773 0.6454 Se
0.8227 0.8227 0.3546 Se

=====

No. 11
TaOF (PBE, relaxed); ΔE_f (raw) = -2.120 eV per atom; DFT total energy = -50.08 eV per cell; space group = P-3m1, No. 164
1.0
-0.4044 -1.6824 -3.1138
2.0361 -1.4332 2.5476
-6.6889 -4.0596 3.0621
F O Ta
2 2 2
Direct
0.6667 0.3333 0.8559 F
0.3333 0.6667 0.1441 F
0.3333 0.6667 0.6444 O
0.6667 0.3333 0.3556 O
0.3333 0.6667 0.3699 Ta
0.6667 0.3333 0.6301 Ta

=====

No. 12
NdUN (PBE, relaxed); ΔE_f (raw) = -0.474 eV per atom; DFT total energy = -51.60 eV per cell; space group = Cmcm, No. 63
1.0
3.2069 0.0000 0.0000
-1.6035 5.4598 0.0000
0.0000 0.0000 6.9970
N U Nd
2 2 2
Direct
0.0108 0.0217 0.2500 N
0.9892 0.9783 0.7500 N
0.5000 0.0000 0.0000 U
0.5000 0.0000 0.5000 U
0.2347 0.4694 0.7500 Nd
0.7653 0.5306 0.2500 Nd

=====

No. 13
ZnCdTeP (PBE, relaxed); ΔE_f (raw) = -0.098 eV per atom; DFT total energy = -11.13 eV per cell; space group = P1, No. 1
1.0
4.4130 0.0037 -0.0234
-2.1834 3.8277 -0.0072
-0.5225 -2.2272 6.2397
Zn Te P Cd
1 1 1 1
Direct
0.0018 0.3065 0.0817 Zn
0.2752 0.8826 0.9318 Te
0.2509 0.4147 0.4406 P
0.9268 0.7908 0.4930 Cd

=====

No. 14
UPa2Cu (PBE, relaxed); DFT total energy = -33.59 eV per cell; space group = P4/mmm, No. 123
1.0
-1.6330 3.1647 0.1202
-2.9964 -1.5877 1.0942
1.9109 0.7462 6.3155
Pa U Cu
2 1 1
Direct
0.0000 0.0000 0.7529 Pa
0.0000 0.0000 0.2471 Pa
0.5000 0.5000 0.0000 U
0.5000 0.5000 0.5000 Cu

=====

No. 15
ScInMo (PBE, relaxed); DFT total energy = -19.52 eV per cell; space group = P3m1, No. 156
1.0
-0.1324 3.1764 -3.6318
-2.9214 -3.8418 -0.0463
-2.0171 1.5170 1.4003
Mo Sc In
1 1 1
Direct
0.6667 0.3333 0.3174 Mo
0.3333 0.6667 0.6441 Sc
0.0000 0.0000 0.0386 In

=====

No. 16
EuDySi (PBE, relaxed); ΔE_f (raw) = -0.369 eV per atom; DFT total energy = -21.41 eV per cell; space group = F-43m, No. 216
1.0
4.9868 0.0000 0.0000
2.4934 4.3187 0.0000
2.4934 1.4396 4.0717
Dy Eu Si
1 1 1
Direct
0.5000 0.5000 0.5000 Dy
0.0000 0.0000 0.0000 Eu
0.2500 0.2500 0.2500 Si

=====

No. 17
B5C7 (PBE, relaxed); DFT total energy = -93.75 eV per cell; space group = Cm, No. 8
1.0
-1.0859 -1.5487 -4.4794
0.8911 -3.0406 -3.6882
-4.2180 -2.8253 5.2122
B C
5 7
Direct
0.3163 0.3163 0.6381 B
0.3246 0.3246 0.1779 B
0.6126 0.6126 0.2867 B
0.9895 0.9895 0.0185 B
0.5124 0.5124 0.8342 B
0.9030 0.9030 0.6256 C
0.4920 0.4920 0.3887 C
0.6806 0.6806 0.8262 C
0.1578 0.1578 0.2094 C
0.0119 0.0119 0.5173 C
0.8225 0.8225 0.0271 C
0.1768 0.1768 0.7003 C

=====

No. 18
Ba2AlHg3 (PBE, relaxed); DFT total energy = -21.82 eV per cell; space group = Fmmm, No. 69
1.0
-1.0246 -5.0447 -4.3268
1.6337 -3.8456 5.2690
-8.7550 4.1186 1.9107
Al Ba Hg
2 4 6
Direct
0.6650 0.6650 0.3299 Al
0.3350 0.3350 0.6701 Al
0.7672 0.7672 0.0000 Ba
0.2328 0.2328 0.0000 Ba
0.2500 0.7500 0.5000 Ba
0.7500 0.2500 0.5000 Ba
0.3524 0.8207 0.1731 Hg
0.8207 0.3524 0.1731 Hg
0.1747 0.1747 0.3494 Hg
0.6476 0.1793 0.8269 Hg
0.8253 0.8253 0.6506 Hg
0.1793 0.6476 0.8269 Hg

=====

No. 19
SmDyTlZn (PBE, relaxed); DFT total energy = -14.27 eV per cell; space group = F-43m, No. 216
1.0
-2.6226 -3.3520 -3.1278
-1.5213 -4.7044 1.8577
-5.1194 -0.9664 0.8686
Sm Tl Zn Dy
1 1 1 1
Direct
0.2500 0.2500 0.2500 Sm
0.5000 0.5000 0.5000 Tl
0.0000 0.0000 0.0000 Zn
0.7500 0.7500 0.7500 Dy

=====

No. 20
Ti2PdPt9 (PBE, relaxed); DFT total energy = -82.83 eV per cell; space group = P4/mmm, No. 123
1.0
3.9459 0.0000 0.0000
0.0000 3.9459 0.0000
0.0000 0.0000 11.8878
Pt Pd Ti
9 1 2
Direct
0.5000 0.0000 0.8265 Pt
0.5000 0.5000 0.3367 Pt
0.0000 0.5000 0.1735 Pt
0.0000 0.5000 0.5000 Pt
0.5000 0.5000 0.6633 Pt
0.5000 0.5000 0.0000 Pt
0.0000 0.5000 0.8265 Pt
0.5000 0.0000 0.1735 Pt
0.5000 0.0000 0.5000 Pt
0.0000 0.0000 0.0000 Pd
0.0000 0.0000 0.6722 Ti
0.0000 0.0000 0.3278 Ti